No. 1
CsFePt3 after structural relaxation. Source: Alexandria via LeMat-Bulk, functional PBE.

Cell lengths 5.1862, 5.1862, 5.1862 Å; angles 90.00, 90.00, 90.00 degrees
With the nearest neighbours (Å) after each atom.
Fractional positions:
1 Cs 0.0000 0.0000 0.0000  6 Pt 2.59
2 Fe 0.5000 0.5000 0.5000  12 Pt 3.67
3 Pt 0.0000 0.5000 0.0000  2 Cs 2.59
4 Pt 0.0000 0.0000 0.5000  2 Cs 2.59
5 Pt 0.5000 0.0000 0.0000  2 Cs 2.59

Values from the calculation:
DFT total energy = -15.26 eV per formula unit
N(E_F) = 7.82 states/eV per cell
M_tot = 3.2 μB per formula unit
SG = Pm-3m (221)


No. 2
CsPuFeS3 after structural relaxation. Source: Alexandria via LeMat-Bulk, functional PBE.

Cell lengths 3.9808, 9.5061, 9.6957 Å; angles 111.56, 90.00, 90.00 degrees
With the nearest neighbours (Å) after each atom.
Fractional positions:
1 Cs 0.2500 0.2109 0.2414  7 S 3.55-3.64
2 Cs 0.7500 0.7891 0.7586  7 S 3.55-3.64
3 Pu 0.2500 0.6700 0.1531  6 S 2.72-2.77
4 Pu 0.7500 0.3300 0.8469  6 S 2.72-2.77
5 Fe 0.2500 0.0676 0.5912  4 S 2.27-2.41
6 Fe 0.7500 0.9324 0.4088  4 S 2.27-2.41
7 S 0.7500 0.8707 0.1563  1 Fe 2.30
8 S 0.2500 0.1293 0.8437  1 Fe 2.30
9 S 0.2500 0.8153 0.4588  3 Fe 2.27-2.41
10 S 0.7500 0.1847 0.5412  3 Fe 2.27-2.41
11 S 0.7500 0.4714 0.1467  3 Pu 2.72-2.73
12 S 0.2500 0.5286 0.8533  3 Pu 2.72-2.73

Values from the calculation:
N(E_F) = 20.32 states/eV per cell
E_form (uncorrected) = -1.170 eV per atom
M_tot = 8.1 μB per formula unit
SG = P2_1/m (11)